The following is a GGA-PBE calculation of a relaxed structure of Ba2YAs, from Alexandria via LeMat-Bulk.

Properties
Calculated formation energy ... -59 kJ/mol of formula units

a b c (Å): 6.604 6.604 6.604
angles (deg): 135.59 135.59 64.62
Fractional positions:
Ba  0.000  0.000  0.000
Y  0.500  0.500  0.000
As  0.750  0.250  0.500
Ba  0.250  0.750  0.500